This record from Alexandria via LeMat-Bulk describes a relaxed Pm2AlSnPd6 crystal. The functional is GGA-PBE.

abc: 5.6952 5.6952 24.1983
angles: 90.00 90.00 120.00
Closest atoms and distances in Å follow each position.
Space group R-3m (No. 166, hexagonal axes)
Asymmetric unit:
Pm: 0.0000 0.0000 0.2052 [6 per cell]  9 Pd 3.00-3.26
Al: 0.0000 0.0000 0.5000 [3 per cell]  6 Pd 2.50
Sn: 0.0000 0.0000 0.0000 [3 per cell]  6 Pd 2.70
Pd: 0.0013 0.5007 0.7555 [18 per cell]  1 Al 2.50, 1 Sn 2.70

Results
Crystal system = trigonal
Energy relative to the elements = -0.64 eV/atom
V = 22.658 Å³/atom

***

This record from Alexandria via LeMat-Bulk describes a relaxed TaAg3 crystal. The functional is GGA-PBE.

abc: 9.7158 2.7996 5.2540
angles: 90.00 96.78 90.00
Closest atoms and distances in Å follow each position.
Space group C2/m (No. 12)
Asymmetric unit:
Ta: 0.0000 0.0000 0.0000 [2 per cell]  2 Ta 2.80, 10 Ag 2.89-2.98
Ag: 0.0000 0.5000 0.5000 [2 per cell]  8 Ag 2.80-2.99, 4 Ta 2.98
Ag: 0.2489 0.5000 0.2454 [4 per cell]  9 Ag 2.80-3.02, 3 Ta 2.89-2.96

Results
Crystal system = monoclinic
Energy relative to the elements = 0.33 eV/atom
V = 17.739 Å³/atom

***

This record from Alexandria via LeMat-Bulk describes a relaxed Ce3Tl5Se12 crystal. The functional is GGA-PBE.

abc: 16.9315 16.9315 16.9315
angles: 90.00 90.00 90.00
Closest atoms and distances in Å follow each position.
Space group Ia-3d (No. 230)
Asymmetric unit:
Ce: 0.0000 0.2500 0.1250 [24 per cell]  8 Se 3.10-3.12
Tl: 0.0000 0.0000 0.0000 [16 per cell]  6 Se 2.91
Tl: 0.0000 0.2500 0.3750 [24 per cell]  4 Se 2.71
Se: 0.0168 0.0705 0.6558 [96 per cell]  2 Tl 2.71-2.91

Results
Crystal system = cubic
V = 30.337 Å³/atom
Energy relative to the elements, uncorrected = -0.752 eV/atom

***

Look up the V of the second one.
17.739 Å³/atom

***

Which of these has the lowest V?
TaAg3